NaLaSiPt | PBE | relaxed

Cell lengths 4.8406, 4.8406, 4.8406 Å; angles 60.00, 60.00, 60.00 degrees
Closest atoms and distances in Å follow each position.
Fractional coordinates of all 4 atoms:
Na: 0.0000 0.0000 0.0000  4 La 2.96, 4 Pt 2.96
La: 0.7500 0.7500 0.7500  4 Na 2.96, 4 Si 2.96
Si: 0.5000 0.5000 0.5000  4 La 2.96, 4 Pt 2.96
Pt: 0.2500 0.2500 0.2500  4 Na 2.96, 4 Si 2.96

Calculated density, g/cm³: 7.973
Distance to the lowest polymorph of the same formula, meV/atom: 114
Space-group type: F-43m, No. 216
M_tot, Bohr magnetons per cell: 0.00
DFT total energy, eV per atom: -4.7999